# 1
Computed, not measured: CsAcBr2 after structural relaxation at the PBE-GGA level of DFT.

## Properties
**N(E_F)**: 5.68 states/eV/cell
**Space group**: No. 166
**Formation energy (no corrections)**: -1.36 eV per atom
**Crystal system**: trigonal
**Raw total energy**: -3.439 eV per atom
**Volume**: 37.35 Å³/atom

Unit cell a=4.173 b=4.173 c=29.727 alpha=90.00 beta=90.00 gamma=120.00
Positions (direct):
Cs (0.000, 0.000, 0.000)
Cs (0.333, 0.667, 0.667)
Cs (0.667, 0.333, 0.333)
Ac (0.000, 0.000, 0.500)
Ac (0.333, 0.667, 0.167)
Ac (0.667, 0.333, 0.833)
Br (0.000, 0.000, 0.245)
Br (0.000, 0.000, 0.755)
Br (0.333, 0.667, 0.421)
Br (0.333, 0.667, 0.912)
Br (0.667, 0.333, 0.088)
Br (0.667, 0.333, 0.579)

---

# 2
Computed, not measured: Cs3AcCu2Br9 after structural relaxation at the PBE-GGA level of DFT.

## Properties
**N(E_F)**: 4.02 states/eV/cell
**Space group**: No. 164
**Formation energy (no corrections)**: -1.33 eV per atom
**Crystal system**: trigonal
**Raw total energy**: -3.323 eV per atom
**Volume**: 34.95 Å³/atom

Unit cell a=7.858 b=7.858 c=9.803 alpha=90.00 beta=90.00 gamma=120.00
Positions (direct):
Cs (0.000, 0.000, 0.000)
Cs (0.333, 0.667, 0.689)
Cs (0.667, 0.333, 0.311)
Ac (0.000, 0.000, 0.500)
Cu (0.333, 0.667, 0.133)
Cu (0.667, 0.333, 0.867)
Br (0.000, 0.500, 0.000)
Br (0.177, 0.354, 0.317)
Br (0.177, 0.823, 0.317)
Br (0.354, 0.177, 0.683)
Br (0.500, 0.000, 0.000)
Br (0.500, 0.500, 0.000)
Br (0.646, 0.823, 0.317)
Br (0.823, 0.177, 0.683)
Br (0.823, 0.646, 0.683)

---

# 3
Computed, not measured: Cs2AcGaBr6 after structural relaxation at the PBE-GGA level of DFT.

## Properties
**N(E_F)**: 0.00 states/eV/cell
**Space group**: No. 225
**Formation energy (no corrections)**: -1.64 eV per atom
**Crystal system**: cubic
**Raw total energy**: -3.530 eV per atom
**Volume**: 44.80 Å³/atom

Unit cell a=8.589 b=8.589 c=8.589 alpha=60.00 beta=60.00 gamma=60.00
Positions (direct):
Cs (0.250, 0.250, 0.250)
Cs (0.750, 0.750, 0.750)
Ac (0.000, 0.000, 0.000)
Ga (0.500, 0.500, 0.500)
Br (0.248, 0.248, 0.752)
Br (0.248, 0.752, 0.248)
Br (0.248, 0.752, 0.752)
Br (0.752, 0.248, 0.248)
Br (0.752, 0.248, 0.752)
Br (0.752, 0.752, 0.248)

---

# 4
Computed, not measured: CsAcHgBr6 after structural relaxation at the PBE-GGA level of DFT.

## Properties
**N(E_F)**: 0.00 states/eV/cell
**Space group**: No. 163
**Formation energy (no corrections)**: -1.44 eV per atom
**Crystal system**: trigonal
**Raw total energy**: -3.136 eV per atom
**Volume**: 45.80 Å³/atom

Unit cell a=7.686 b=7.686 c=16.117 alpha=90.00 beta=90.00 gamma=120.00
Positions (direct):
Cs (0.000, 0.000, 0.000)
Cs (0.000, 0.000, 0.500)
Ac (0.333, 0.667, 0.250)
Ac (0.667, 0.333, 0.750)
Hg (0.333, 0.667, 0.750)
Hg (0.667, 0.333, 0.250)
Br (0.018, 0.384, 0.643)
Br (0.018, 0.633, 0.857)
Br (0.367, 0.384, 0.857)
Br (0.367, 0.982, 0.643)
Br (0.384, 0.018, 0.143)
Br (0.384, 0.367, 0.357)
Br (0.616, 0.633, 0.643)
Br (0.616, 0.982, 0.857)
Br (0.633, 0.018, 0.357)
Br (0.633, 0.616, 0.143)
Br (0.982, 0.367, 0.143)
Br (0.982, 0.616, 0.357)

---

# 5
Computed, not measured: CsAcIn2Br6 after structural relaxation at the PBE-GGA level of DFT.

## Properties
**N(E_F)**: 0.00 states/eV/cell
**Space group**: No. 1
**Formation energy (no corrections)**: -1.44 eV per atom
**Crystal system**: triclinic
**Raw total energy**: -3.489 eV per atom
**Volume**: 45.75 Å³/atom

Unit cell a=8.431 b=8.443 c=8.872 alpha=61.64 beta=61.63 gamma=60.05
Positions (direct):
Cs (0.000, 0.000, 0.000)
Ac (0.515, 0.516, 0.453)
In (0.203, 0.203, 0.390)
In (0.713, 0.713, 0.860)
Br (0.148, 0.770, 0.657)
Br (0.355, 0.564, 0.180)
Br (0.424, 0.148, 0.657)
Br (0.565, 0.899, 0.179)
Br (0.771, 0.424, 0.657)
Br (0.899, 0.356, 0.179)

---

# 6
Computed, not measured: CsK2AcBr6 after structural relaxation at the PBE-GGA level of DFT.

## Properties
**N(E_F)**: 0.00 states/eV/cell
**Space group**: No. 14
**Formation energy (no corrections)**: -1.87 eV per atom
**Crystal system**: monoclinic
**Raw total energy**: -3.594 eV per atom
**Volume**: 44.32 Å³/atom

Unit cell a=8.260 b=8.863 c=14.569 alpha=90.00 beta=123.79 gamma=90.00
Positions (direct):
Cs (0.000, 0.000, 0.000)
Cs (0.000, 0.500, 0.500)
K (0.209, 0.079, 0.742)
K (0.209, 0.421, 0.242)
K (0.791, 0.579, 0.758)
K (0.791, 0.921, 0.258)
Ac (0.500, 0.000, 0.500)
Ac (0.500, 0.500, 0.000)
Br (0.131, 0.171, 0.426)
Br (0.131, 0.329, 0.926)
Br (0.247, 0.718, 0.403)
Br (0.247, 0.782, 0.903)
Br (0.438, 0.086, 0.279)
Br (0.438, 0.414, 0.779)
Br (0.562, 0.586, 0.221)
Br (0.562, 0.914, 0.721)
Br (0.753, 0.218, 0.097)
Br (0.753, 0.282, 0.597)
Br (0.869, 0.671, 0.074)
Br (0.869, 0.829, 0.574)

---

# 7
Computed, not measured: Cs2KAcBr6 after structural relaxation at the PBE-GGA level of DFT.

## Properties
**N(E_F)**: 0.00 states/eV/cell
**Space group**: No. 14
**Formation energy (no corrections)**: -1.92 eV per atom
**Crystal system**: monoclinic
**Raw total energy**: -3.610 eV per atom
**Volume**: 45.60 Å³/atom

Unit cell a=8.478 b=8.883 c=14.655 alpha=90.00 beta=124.28 gamma=90.00
Positions (direct):
Cs (0.224, 0.065, 0.247)
Cs (0.224, 0.435, 0.747)
Cs (0.776, 0.565, 0.253)
Cs (0.776, 0.935, 0.753)
K (0.000, 0.000, 0.500)
K (0.000, 0.500, 0.000)
Ac (0.500, 0.000, 0.000)
Ac (0.500, 0.500, 0.500)
Br (0.165, 0.192, 0.953)
Br (0.165, 0.308, 0.453)
Br (0.256, 0.719, 0.944)
Br (0.256, 0.781, 0.444)
Br (0.362, 0.035, 0.760)
Br (0.362, 0.465, 0.260)
Br (0.638, 0.535, 0.740)
Br (0.638, 0.965, 0.240)
Br (0.744, 0.219, 0.556)
Br (0.744, 0.281, 0.056)
Br (0.835, 0.692, 0.547)
Br (0.835, 0.808, 0.047)

---

# 8
Computed, not measured: CsLiAc2Br8 after structural relaxation at the PBE-GGA level of DFT.

## Properties
**N(E_F)**: 0.00 states/eV/cell
**Space group**: No. 10
**Formation energy (no corrections)**: -1.85 eV per atom
**Crystal system**: monoclinic
**Raw total energy**: -3.885 eV per atom
**Volume**: 43.52 Å³/atom

Unit cell a=7.409 b=9.575 c=7.437 alpha=90.00 beta=98.12 gamma=90.00
Positions (direct):
Cs (0.000, 0.000, 0.000)
Li (0.000, 0.500, 0.000)
Ac (0.500, 0.261, 0.500)
Ac (0.500, 0.739, 0.500)
Br (0.162, 0.300, 0.232)
Br (0.162, 0.700, 0.232)
Br (0.348, 0.500, 0.710)
Br (0.371, 0.000, 0.703)
Br (0.629, 0.000, 0.297)
Br (0.652, 0.500, 0.290)
Br (0.838, 0.300, 0.768)
Br (0.838, 0.700, 0.768)

---

> Among the records above, which one has the lowest formation energy (no corrections)?

Cs2KAcBr6